(1)
Compound: POsPd3
Source: the Alexandria database
Functional: PBE
Structure: optimized geometry

Results
Calculated volume ... 21.88 Å³/atom
Offset from the most stable computed form ... 0.8513 eV per atom
ΔE_f ... 1572 meV per atom
DOS at the Fermi energy ... 1.497 states/eV/atom

```
data_POsPd3
_cell_length_a 4.783
_cell_length_b 4.783
_cell_length_c 4.783
_cell_angle_alpha 90.00
_cell_angle_beta 90.00
_cell_angle_gamma 90.00
_symmetry_space_group_name_H-M 'P m -3 m'
_symmetry_Int_Tables_number 221
_symmetry_space_group_name_Hall '-P 4 2 3'
loop_
_atom_site_label
_atom_site_fract_x
_atom_site_fract_y
_atom_site_fract_z
_atom_site_occupancy
P1 0.000 0.000 0.000 1
Os1 0.500 0.500 0.500 1
Pd1 0.000 0.500 0.500 1
```


(2)
Compound: CsTlOsO4
Source: the Alexandria database
Functional: PBE
Structure: optimized geometry

Results
Calculated volume ... 27.53 Å³/atom
Energy relative to the elements, uncorrected ... -1.110 eV per atom

```
data_CsTlOsO4
_cell_length_a 6.736
_cell_length_b 6.736
_cell_length_c 8.495
_cell_angle_alpha 90.00
_cell_angle_beta 90.00
_cell_angle_gamma 90.00
_symmetry_space_group_name_H-M 'I -4'
_symmetry_Int_Tables_number 82
loop_
_symmetry_equiv_pos_as_xyz
'x,y,z'
'y,-x,-z'
'-x,-y,z'
'-y,x,-z'
'x+1/2,y+1/2,z+1/2'
'y+1/2,-x+1/2,-z+1/2'
'-x+1/2,-y+1/2,z+1/2'
'-y+1/2,x+1/2,-z+1/2'
loop_
_atom_site_label
_atom_site_fract_x
_atom_site_fract_y
_atom_site_fract_z
_atom_site_occupancy
Cs1 0.000 0.000 0.000 1
Tl1 0.000 0.000 0.500 1
Os1 0.000 0.500 0.250 1
O1 0.155 0.299 0.317 1
```


(3)
Compound: HIrO4
Source: the Alexandria database
Functional: PBE
Structure: optimized geometry

Results
Calculated volume ... 11.39 Å³/atom
Offset from the most stable computed form ... 0.0901 eV per atom
DOS at the Fermi energy ... 0.065 states/eV/atom

```
data_HIrO4
_cell_length_a 6.152
_cell_length_b 6.152
_cell_length_c 7.220
_cell_angle_alpha 90.00
_cell_angle_beta 90.00
_cell_angle_gamma 90.00
_symmetry_space_group_name_H-M 'I 41 m d'
_symmetry_Int_Tables_number 109
_symmetry_space_group_name_Hall 'I 4bw -2'
loop_
_atom_site_label
_atom_site_fract_x
_atom_site_fract_y
_atom_site_fract_z
_atom_site_occupancy
H1 0.000 0.000 0.000 1
Ir1 0.000 0.000 0.680 1
O1 0.000 0.179 0.925 1
O2 0.000 0.242 0.551 1
```


(4)
Compound: CrTe2Rh
Source: the Alexandria database
Functional: PBE
Structure: optimized geometry

Results
Calculated volume ... 19.51 Å³/atom
Energy relative to the elements, uncorrected ... 0.089 eV per atom
Offset from the most stable computed form ... 0.2296 eV per atom
DOS at the Fermi energy ... 0.516 states/eV/atom

```
data_CrTe2Rh
_cell_length_a 4.795
_cell_length_b 4.795
_cell_length_c 3.394
_cell_angle_alpha 90.00
_cell_angle_beta 90.00
_cell_angle_gamma 90.00
_symmetry_space_group_name_H-M 'P 4/m m m'
_symmetry_Int_Tables_number 123
_symmetry_space_group_name_Hall '-P 4 2'
loop_
_atom_site_label
_atom_site_fract_x
_atom_site_fract_y
_atom_site_fract_z
_atom_site_occupancy
Cr1 0.000 0.000 0.000 1
Te1 0.000 0.500 0.500 1
Rh1 0.500 0.500 0.000 1
```


(5)
Compound: Tm3In2Te6
Source: the Alexandria database
Functional: PBE
Structure: optimized geometry

Results
Calculated volume ... 34.60 Å³/atom
Energy relative to the elements, uncorrected ... -0.996 eV per atom
DOS at the Fermi energy ... 0.381 states/eV/atom

```
data_Tm3In2Te6
_cell_length_a 7.526
_cell_length_b 13.024
_cell_length_c 8.159
_cell_angle_alpha 90.00
_cell_angle_beta 107.86
_cell_angle_gamma 90.00
_symmetry_space_group_name_H-M 'C 1 2/m 1'
_symmetry_Int_Tables_number 12
loop_
_symmetry_equiv_pos_as_xyz
'x,y,z'
'-x,-y,-z'
'-x,y,-z'
'x,-y,z'
'x+1/2,y+1/2,z'
'-x+1/2,-y+1/2,-z'
'-x+1/2,y+1/2,-z'
'x+1/2,-y+1/2,z'
loop_
_atom_site_label
_atom_site_fract_x
_atom_site_fract_y
_atom_site_fract_z
_atom_site_occupancy
Tm1 0.000 0.000 0.000 1
Tm2 0.000 0.332 0.000 1
In1 0.000 0.167 0.500 1
Te1 0.241 0.168 0.226 1
Te2 0.243 0.500 0.223 1
```


(6)
Compound: Tl2SbHPt
Source: the Alexandria database
Functional: PBE
Structure: optimized geometry

Results
Final energy ... -3.590 eV per atom
Calculated volume ... 22.16 Å³/atom
DOS at the Fermi energy ... 0.251 states/eV/atom

```
data_Tl2SbHPt
_cell_length_a 5.654
_cell_length_b 5.654
_cell_length_c 3.466
_cell_angle_alpha 90.00
_cell_angle_beta 90.00
_cell_angle_gamma 90.00
_symmetry_space_group_name_H-M 'P 4/m m m'
_symmetry_Int_Tables_number 123
_symmetry_space_group_name_Hall '-P 4 2'
loop_
_atom_site_label
_atom_site_fract_x
_atom_site_fract_y
_atom_site_fract_z
_atom_site_occupancy
Tl1 0.000 0.500 0.000 1
Sb1 0.000 0.000 0.500 1
H1 0.500 0.500 0.500 1
Pt1 0.500 0.500 0.000 1
```


(7)
Compound: Na2UGe3Pt4
Source: the Alexandria database
Functional: PBE
Structure: optimized geometry

Results
Calculated volume ... 20.68 Å³/atom
ΔE_f ... -430 meV per atom
DOS at the Fermi energy ... 1.195 states/eV/atom

```
data_Na2UGe3Pt4
_cell_length_a 4.410
_cell_length_b 4.410
_cell_length_c 10.631
_cell_angle_alpha 90.00
_cell_angle_beta 90.00
_cell_angle_gamma 90.00
_symmetry_space_group_name_H-M 'P -4 m 2'
_symmetry_Int_Tables_number 115
loop_
_symmetry_equiv_pos_as_xyz
'x,y,z'
'y,-x,-z'
'-x,-y,z'
'-y,x,-z'
'-x,y,z'
'-y,-x,-z'
'x,-y,z'
'y,x,-z'
loop_
_atom_site_label
_atom_site_fract_x
_atom_site_fract_y
_atom_site_fract_z
_atom_site_occupancy
Na1 0.000 0.500 0.224 1
U1 0.000 0.000 0.500 1
Ge1 0.000 0.500 0.884 1
Ge2 0.500 0.500 0.500 1
Pt1 0.000 0.000 0.000 1
Pt2 0.000 0.500 0.654 1
Pt3 0.500 0.500 0.000 1
```


(8)
Compound: Y2Co5Ni5
Source: the Alexandria database
Functional: PBE
Structure: optimized geometry

Results
Calculated volume ... 13.78 Å³/atom
Offset from the most stable computed form ... 0.0359 eV per atom
ΔE_f ... -168 meV per atom
DOS at the Fermi energy ... 1.615 states/eV/atom

```
data_Y2Co5Ni5
_cell_length_a 3.955
_cell_length_b 4.935
_cell_length_c 8.471
_cell_angle_alpha 90.00
_cell_angle_beta 90.00
_cell_angle_gamma 90.00
_symmetry_space_group_name_H-M 'P m m m'
_symmetry_Int_Tables_number 47
loop_
_symmetry_equiv_pos_as_xyz
'x,y,z'
'-x,-y,-z'
'-x,-y,z'
'x,y,-z'
'x,-y,-z'
'-x,y,z'
'-x,y,-z'
'x,-y,z'
loop_
_atom_site_label
_atom_site_fract_x
_atom_site_fract_y
_atom_site_fract_z
_atom_site_occupancy
Y1 0.000 0.000 0.000 1
Y2 0.000 0.500 0.500 1
Co1 0.000 0.000 0.334 1
Co2 0.000 0.500 0.159 1
Co3 0.500 0.500 0.000 1
Ni1 0.500 0.000 0.500 1
Ni2 0.500 0.250 0.250 1
```


(9)
Compound: Ge2Te2Br
Source: the Alexandria database
Functional: PBE
Structure: optimized geometry

Results
Calculated volume ... 29.81 Å³/atom
Energy relative to the elements, uncorrected ... -0.162 eV per atom
Offset from the most stable computed form ... 0.0000 eV per atom
DOS at the Fermi energy ... 0.598 states/eV/atom

```
data_Ge2Te2Br
_cell_length_a 4.070
_cell_length_b 5.750
_cell_length_c 12.734
_cell_angle_alpha 90.00
_cell_angle_beta 90.00
_cell_angle_gamma 90.00
_symmetry_space_group_name_H-M 'P m m n'
_symmetry_Int_Tables_number 59
loop_
_symmetry_equiv_pos_as_xyz
'x,y,z'
'-x,-y,-z'
'-x+1/2,-y+1/2,z'
'x+1/2,y+1/2,-z'
'x+1/2,-y,-z'
'-x+1/2,y,z'
'-x,y+1/2,-z'
'x,-y+1/2,z'
loop_
_atom_site_label
_atom_site_fract_x
_atom_site_fract_y
_atom_site_fract_z
_atom_site_occupancy
Ge1 0.250 0.250 0.116 1
Ge2 0.250 0.250 0.746 1
Te1 0.250 0.750 0.084 1
Te2 0.250 0.750 0.733 1
Br1 0.250 0.750 0.401 1
```


(10)
Compound: KTlS2
Source: the Alexandria database
Functional: PBE
Structure: optimized geometry

Results
Calculated volume ... 31.95 Å³/atom
Energy relative to the elements, uncorrected ... -0.609 eV per atom
Offset from the most stable computed form ... 0.0211 eV per atom
DOS at the Fermi energy ... 0.000 states/eV/atom

```
data_KTlS2
_cell_length_a 14.816
_cell_length_b 4.335
_cell_length_c 8.250
_cell_angle_alpha 90.00
_cell_angle_beta 105.23
_cell_angle_gamma 90.00
_symmetry_space_group_name_H-M 'C 1 m 1'
_symmetry_Int_Tables_number 8
loop_
_symmetry_equiv_pos_as_xyz
'x,y,z'
'x,-y,z'
'x+1/2,y+1/2,z'
'x+1/2,-y+1/2,z'
loop_
_atom_site_label
_atom_site_fract_x
_atom_site_fract_y
_atom_site_fract_z
_atom_site_occupancy
K1 0.000 0.000 0.000 1
K2 0.235 0.000 0.731 1
Tl1 0.259 0.500 0.141 1
Tl2 0.486 0.000 0.502 1
S1 0.124 0.500 0.886 1
S2 0.237 0.500 0.443 1
S3 0.369 0.000 0.145 1
S4 0.372 0.500 0.600 1
```